# 1
HoBiRu: relaxed, PBE-GGA.

a b c (Å): 3.2316 3.2316 29.3094
angles (deg): 90.00 90.00 90.00
Atoms (fractional coordinates):
Ho  0.0000  0.0000  0.1600
Ho  0.0000  0.0000  0.8400
Ho  0.5000  0.5000  0.3399
Ho  0.5000  0.5000  0.6600
Bi  0.0000  0.0000  0.4296
Bi  0.0000  0.0000  0.5704
Bi  0.5000  0.5000  0.0704
Bi  0.5000  0.5000  0.9296
Ru  0.0000  0.0000  0.2727
Ru  0.0000  0.0000  0.7273
Ru  0.5000  0.5000  0.2273
Ru  0.5000  0.5000  0.7727

Calculated values
Space group ... I4/mmm
Formation energy ... -0.16 eV per atom
Total magnetization ... 0.0 μB per cell

=====

# 2
Ba3Ga3Pd: relaxed, PBE-GGA.

a b c (Å): 6.4862 6.4862 14.6100
angles (deg): 90.00 90.00 136.13
Atoms (fractional coordinates):
Ba  0.0415  0.9585  0.7500
Ba  0.2431  0.7569  0.1006
Ba  0.2431  0.7569  0.3994
Ba  0.7569  0.2431  0.6006
Ba  0.7569  0.2431  0.8994
Ba  0.9585  0.0415  0.2500
Ga  0.3402  0.6598  0.7500
Ga  0.4606  0.5394  0.5808
Ga  0.4606  0.5394  0.9192
Ga  0.5394  0.4606  0.0808
Ga  0.5394  0.4606  0.4192
Ga  0.6598  0.3402  0.2500
Pd  0.0000  0.0000  0.0000
Pd  0.0000  0.0000  0.5000

Calculated values
Space group ... Cmcm
Formation energy ... -0.43 eV per atom
Total magnetization ... 0.0 μB per cell